First-principles (PBE) data for an optimized crystal structure of NaSbAu2S4, as listed in Alexandria via LeMat-Bulk.

a b c (Å): 6.4273 7.3277 9.6159
angles (deg): 90.00 90.00 90.00
Sites, in units of the cell vectors:
Na 0.0000 0.0000 0.0000
Na 0.5000 0.5000 0.5000
Sb 0.0000 0.5000 0.0000
Sb 0.5000 0.0000 0.5000
Au 0.0000 0.2102 0.5000
Au 0.0000 0.7898 0.5000
Au 0.5000 0.2898 0.0000
Au 0.5000 0.7102 0.0000
S 0.2067 0.2976 0.8586
S 0.2067 0.7024 0.1414
S 0.2933 0.2024 0.3586
S 0.2933 0.7976 0.6414
S 0.7067 0.2024 0.6414
S 0.7067 0.7976 0.3586
S 0.7933 0.2976 0.1414
S 0.7933 0.7024 0.8586

**E_tot**: -61.8 eV for the cell shown
**Calculated volume**: 28.305 A^3/atom